Record 1
Density functional theory data (PBE-GGA) for an optimized crystal structure of AlNiIr2.

Results
V (A^3/atom): 13.4
Raw total energy (eV for the cell shown): -28.46
M_tot (μB per formula unit): 0.00

Cell lengths 2.7856, 2.7856, 6.8822 Å; angles 90.00, 90.00, 90.00 degrees
Closest atoms and distances in Å follow each position.
Space group P4mm (No. 99)
Unique sites:
Al: 0.0000 0.0000 0.0000 [1 per cell]  4 Ni 2.48, 4 Ir 2.63
Ni: 0.5000 0.5000 0.7800 [1 per cell]  4 Al 2.48, 4 Ir 2.62
Ir: 0.0000 0.0000 0.5294 [1 per cell]  4 Ni 2.62, 8 Ir 2.74-2.79
Ir: 0.5000 0.5000 0.2526 [1 per cell]  4 Al 2.63, 8 Ir 2.74-2.79

***

Record 2
Density functional theory data (PBE-GGA) for an optimized crystal structure of PuSn2Pd9.

Results
V (A^3/atom): 16.9
Raw total energy (eV for the cell shown): -75.25
M_tot (μB per formula unit): 4.55

Cell lengths 4.0846, 4.0846, 12.1856 Å; angles 90.00, 90.00, 90.00 degrees
Closest atoms and distances in Å follow each position.
Space group P4/mmm (No. 123)
Unique sites:
Pu: 0.0000 0.0000 0.0000 [1 per cell]  12 Pd 2.89-2.93
Sn: 0.0000 0.0000 0.3364 [2 per cell]  12 Pd 2.85-2.89
Pd: 0.0000 0.5000 0.1725 [4 per cell]  2 Sn 2.86, 8 Pd 2.87-2.93, 2 Pu 2.93
Pd: 0.0000 0.5000 0.5000 [2 per cell]  8 Pd 2.85-2.89, 4 Sn 2.85
Pd: 0.5000 0.5000 0.0000 [1 per cell]  4 Pu 2.89, 8 Pd 2.93
Pd: 0.5000 0.5000 0.3374 [2 per cell]  8 Pd 2.85-2.87, 4 Sn 2.89

***

Record 3
Density functional theory data (PBE-GGA) for an optimized crystal structure of Tb3NdSmTm.

Results
V (A^3/atom): 32.4
Raw total energy (eV for the cell shown): -110.93
M_tot (μB per formula unit): 0.00

Cell lengths 5.0597, 15.2012, 10.1211 Å; angles 90.00, 90.00, 90.00 degrees
Closest atoms and distances in Å follow each position.
Space group Cmcm (No. 63)
Unique sites:
Tb: 0.0000 0.1680 0.0002 [8 per cell]  5 Tb 3.55-3.58, 3 Tm 3.55-3.58, 2 Sm 3.59-3.60, 2 Nd 3.60
Tb: 0.0000 0.3317 0.2500 [4 per cell]  6 Tb 3.55-3.58, 2 Tm 3.55, 2 Nd 3.60, 2 Sm 3.60
Nd: 0.0000 0.5000 0.0000 [4 per cell]  4 Sm 3.58, 2 Tm 3.59, 6 Tb 3.60
Sm: 0.0000 0.0004 0.2500 [4 per cell]  4 Nd 3.58, 2 Tm 3.59, 6 Tb 3.59-3.60
Tm: 0.0000 0.3321 0.7500 [4 per cell]  8 Tb 3.55-3.58, 2 Sm 3.59, 2 Nd 3.59

***

Record 4
Density functional theory data (PBE-GGA) for an optimized crystal structure of ReBiAs2Br.

Results
V (A^3/atom): 25.0
Raw total energy (eV for the cell shown): -24.58
M_tot (μB per formula unit): 0.00
Formation energy without anion corrections (meV per atom): 544

Cell lengths 4.7882, 4.7882, 5.4489 Å; angles 90.00, 90.00, 90.00 degrees
Closest atoms and distances in Å follow each position.
Space group P4/mmm (No. 123)
Unique sites:
Re: 0.0000 0.0000 0.0000 [1 per cell]  4 As 2.39
Bi: 0.5000 0.5000 0.5000 [1 per cell]  4 Br 3.39, 8 As 3.63
As: 0.0000 0.5000 0.0000 [2 per cell]  2 Re 2.39
Br: 0.0000 0.0000 0.5000 [1 per cell]  2 Re 2.72